Entry from Alexandria via LeMat-Bulk: a geometry-optimized BaBI structure (PBE-GGA).

extended XYZ file:
```
12
Lattice="3.5293 0.0000 0.0000 0.0000 8.7243 -0.9510 0.0000 -0.8244 12.5630" Properties=species:S:1:pos:R:3 pbc="T T T"
I 2.6409 3.0858 7.9432
Ba 2.6534 2.4135 1.8967
Ba 0.8888 1.1243 10.1908
Ba 2.6405 6.7756 1.4212
B 0.8797 4.3689 -0.4153
Ba 0.8759 5.4864 9.7153
I 0.8884 4.8141 3.6688
I 0.8763 0.4519 4.1443
I 2.6530 7.4480 7.4677
B 2.6444 7.8932 11.5518
B 0.8849 0.0067 0.0602
B 2.6496 3.5310 12.0273
```

As for the density of states at the Fermi level: 1.6 states/eV per cell. As for the total energy: -3.952 eV per atom. The formation energy from raw total energies comes out at -568 meV/atom. The calculation puts the calculated density at 4757 kg/m3.